This record from the Alexandria database describes a geometry-optimized Ca2FeF6 structure. The functional is GGA+U.

Properties
As for the total moment: 12.00 Bohr magnetons per cell. The value obtained for the total energy is -5.6126 eV/atom. The calculation puts the density of states at the Fermi level at 2.3 states/eV/f.u.

Cell lengths 4.4427, 10.1958, 10.1958 Å; angles 120.00, 90.00, 90.00 degrees
Last column: magnetic moment on the atom in μB.
Fractional positions:
Ca 0.0000 0.0000 0.6619  0.00
Ca 0.0000 0.0000 0.3381  0.00
F 0.2550 0.2281 0.4563  0.02
Fe 0.4969 0.3333 0.6667  3.81
F 0.2177 0.8928 0.1072  0.02
Ca 0.0000 0.3381 0.0000  0.00
Ca 0.0000 0.6619 0.0000  0.00
F 0.7417 0.4390 0.5610  0.01
F 0.7450 0.7719 0.5437  0.02
F 0.2583 0.5610 0.4390  0.01
Ca 0.0000 0.3381 0.3381  0.00
Fe 0.5031 0.6667 0.3333  3.81
F 0.7450 0.4563 0.2281  0.02
F 0.7823 0.7857 0.8928  0.02
F 0.2550 0.2281 0.7719  0.02
F 0.7417 0.1220 0.5610  0.01
Fe 0.0000 0.0000 0.0000  3.82
F 0.2177 0.8928 0.7857  0.02
F 0.2177 0.2143 0.1072  0.02
F 0.2583 0.5610 0.1220  0.01
F 0.7823 0.1072 0.8928  0.02
F 0.7823 0.1072 0.2143  0.02
F 0.2583 0.8780 0.4390  0.01
F 0.7417 0.4390 0.8780  0.01
F 0.2550 0.5437 0.7719  0.02
F 0.7450 0.7719 0.2281  0.02
Ca 0.0000 0.6619 0.6619  0.00